VASP calculation (GGA-PBE) on a relaxed structure of Nd2ErPu.

* calculated volume: 32.34 A^3/atom
* relative energy among the computed polymorphs: 0.009 eV per atom
* SG: R3m

Cell: 11.737 11.737 11.737 Å, 17.62 17.62 17.62°
Positions (direct):
Nd1 0.000 0.000 0.000
Nd2 0.168 0.168 0.168
Er1 0.417 0.417 0.417
Pu1 0.584 0.584 0.584

---

VASP calculation (GGA-PBE) on a relaxed structure of Tb2Pr5DyY.

* calculated volume: 35.14 A^3/atom
* VASP energy: -4.772 eV per atom
* SG: Cmc2_1

Cell: 10.743 10.743 10.733 Å, 90.00 90.00 149.29°
Positions (direct):
Tb1 0.113 0.887 0.500
Tb2 0.115 0.885 0.068
Tb3 0.885 0.115 0.568
Tb4 0.887 0.113 0.000
Pr1 0.014 0.986 0.777
Pr2 0.278 0.722 0.075
Pr3 0.295 0.705 0.468
Pr4 0.384 0.616 0.783
Pr5 0.484 0.516 0.507
Pr6 0.516 0.484 0.007
Pr7 0.616 0.384 0.283
Pr8 0.705 0.295 0.968
Pr9 0.722 0.278 0.575
Pr10 0.986 0.014 0.277
Dy1 0.199 0.801 0.772
Dy2 0.801 0.199 0.272
Y1 0.406 0.594 0.227
Y2 0.594 0.406 0.727

---

VASP calculation (GGA-PBE) on a relaxed structure of ZnCoH2.

* calculated volume: 7.40 A^3/atom
* relative energy among the computed polymorphs: 0.025 eV per atom
* SG: R-3m

Cell: 4.714 4.714 4.714 Å, 34.24 34.24 34.24°
Positions (direct):
Zn1 0.000 0.000 0.000
Co1 0.500 0.500 0.500
H1 0.211 0.211 0.211
H2 0.789 0.789 0.789